No. 1
The following is a GGA-PBE calculation of an optimized crystal structure of SiOs2W, from Alexandria.

abc: 2.8895 2.8895 6.7211
angles: 90.00 90.00 90.00
Sites, in units of the cell vectors:
Si (0.0000, 0.0000, 0.0000)
Os (0.5000, 0.5000, 0.2182)
Os (0.5000, 0.5000, 0.7818)
W (0.0000, 0.0000, 0.5000)

## Properties
M_tot: 0.00 μB/cell
symmetry: P4/mmm
uncorrected formation energy: -0.19 eV/atom

=====

No. 2
The following is a GGA-PBE calculation of an optimized crystal structure of SiOs2W, from Alexandria.

abc: 2.8534 4.4830 4.5339
angles: 90.00 90.00 90.00
Sites, in units of the cell vectors:
Si (0.0000, 0.0000, 0.0000)
Os (0.0000, 0.5000, 0.5000)
Os (0.5000, 0.5000, 0.0000)
W (0.5000, 0.0000, 0.5000)

## Properties
M_tot: 0.00 μB/cell
symmetry: Pmmm
uncorrected formation energy: 0.22 eV/atom